First-principles (PBE) data for a geometry-optimized CdP2Cl structure, as listed in the Alexandria database. Values from VASP.

Excess energy over the best structure of this formula in the dataset in meV/atom: 931
Theoretical density in Mg/m³: 4.66
Raw formation energy in eV/atom: 0.7104

```
&SYSTEM
  ibrav = 0, nat = 4, ntyp = 3
/
ATOMIC_SPECIES
Cd 112.41 Cd.upf
P 30.97 P.upf
Cl 35.45 Cl.upf
CELL_PARAMETERS angstrom
0.000 3.343 3.343
3.343 0.000 3.343
3.343 3.343 0.000
ATOMIC_POSITIONS angstrom
Cd 3.343 3.343 3.343
P 1.672 1.672 1.672
P 5.015 5.015 5.015
Cl 0.000 0.000 0.000
```